Record 1
This record from the Alexandria database describes OsRhBr at its PBEsol-relaxed geometry. The functional is meta-GGA SCAN.

a b c (Å): 2.9333 2.9333 6.2342
angles (deg): 90.00 90.00 120.00
Last column: nearest neighbours and their distance in Å.
Fractional positions:
1 Rh 0.6667 0.3333 0.3452  3 Os 2.58, 3 Br 2.75
2 Os 0.3333 0.6667 0.6577  3 Rh 2.58, 3 Br 2.71
3 Br 0.0000 0.0000 0.9971  3 Os 2.71, 3 Rh 2.75, 6 Br 2.93

Output
Its space group is P3m1, No. 156. Its uncorrected formation energy is 0.863 eV/atom.

Record 2
This record from the Alexandria database describes AlTc5 at its PBEsol-relaxed geometry. The functional is meta-GGA SCAN.

a b c (Å): 2.8769 5.0014 6.3867
angles (deg): 106.99 90.00 106.71
Last column: nearest neighbours and their distance in Å.
Fractional positions:
1 Al 0.0053 0.0107 0.0228  9 Tc 2.63-2.74, 2 Al 2.88
2 Tc 0.6773 0.3546 0.3527  10 Tc 2.57-2.88, 2 Al 2.67
3 Tc 0.3463 0.6926 0.6851  10 Tc 2.63-2.88, 2 Al 2.65
4 Tc 0.3731 0.7462 0.2609  10 Tc 2.57-2.88, 2 Al 2.68
5 Tc 0.0587 0.1174 0.5895  11 Tc 2.59-2.88
6 Tc 0.7059 0.4119 0.9223  9 Tc 2.60-2.88, 3 Al 2.63-2.74

Output
Its space group is Cm, No. 8.

Record 3
This record from the Alexandria database describes MgSbCl at its PBEsol-relaxed geometry. The functional is meta-GGA SCAN.

a b c (Å): 3.4050 3.4050 7.4146
angles (deg): 90.00 90.00 120.00
Last column: nearest neighbours and their distance in Å.
Fractional positions:
1 Sb 0.6667 0.3333 0.3911  3 Mg 3.05, 6 Sb 3.41
2 Mg 0.3333 0.6667 0.7060  3 Cl 2.45
3 Cl 0.0000 0.0000 0.9029  3 Mg 2.45

Output
Its space group is P3m1, No. 156. Its uncorrected formation energy is -0.966 eV/atom.

Number 1: relative energy among the computed polymorphs 0.000 eV/f.u., spin magnetization 0.00 μB/f.u., DOS at the Fermi energy 2.359 states/eV per cell. Number 2: relative energy among the computed polymorphs 0.159 eV/f.u., spin magnetization 0.00 μB/f.u., DOS at the Fermi energy 4.413 states/eV per cell. Number 3: relative energy among the computed polymorphs 0.000 eV/f.u., spin magnetization 0.00 μB/f.u., DOS at the Fermi energy 0.842 states/eV per cell.